# TiBSb2C

TiBSb2C after structural relaxation (PBE, the Alexandria database).

Unit cell a=4.659 b=4.659 c=4.234 alpha=90.00 beta=90.00 gamma=90.00
Positions (direct):
Ti1 0.000 0.000 0.000
B1 0.000 0.000 0.500
Sb1 0.000 0.500 0.500
Sb2 0.500 0.000 0.500
C1 0.500 0.500 0.000

## Properties
Formation energy (no corrections) = 1505 meV per atom
DFT total energy = -24.518 eV/cell
Symmetry = P4/mmm

# Sc2BC2

Sc2BC2 after structural relaxation (PBE, the Alexandria database).

Unit cell a=5.841 b=5.841 c=5.841 alpha=146.79 beta=146.79 gamma=47.68
Positions (direct):
Sc1 0.152 0.152 0.000
Sc2 0.848 0.848 0.000
B1 0.500 0.500 0.000
C1 0.361 0.361 0.000
C2 0.639 0.639 0.000

## Properties
Formation enthalpy at 0 K = -0.571 eV/atom
DFT total energy = -40.645 eV/cell
Symmetry = I4/mmm

# Sc3BC

Sc3BC after structural relaxation (PBE, the Alexandria database).

Unit cell a=4.353 b=4.353 c=4.353 alpha=90.00 beta=90.00 gamma=90.00
Positions (direct):
Sc1 0.000 0.000 0.500
Sc2 0.000 0.500 0.000
Sc3 0.500 0.000 0.000
B1 0.500 0.500 0.500
C1 0.000 0.000 0.000

## Properties
Formation enthalpy at 0 K = -0.127 eV/atom
DFT total energy = -35.529 eV/cell
Symmetry = Pm-3m

# ScBC2

ScBC2 after structural relaxation (PBE, the Alexandria database).

Unit cell a=5.779 b=5.779 c=5.779 alpha=141.35 beta=141.35 gamma=55.81
Positions (direct):
Sc1 0.000 0.000 0.000
Sc2 0.750 0.250 0.500
B1 0.250 0.750 0.500
B2 0.500 0.500 0.000
C1 0.324 0.625 0.199
C2 0.375 0.574 0.699
C3 0.426 0.125 0.801
C4 0.875 0.676 0.301

## Properties
Formation enthalpy at 0 K = 0.209 eV/atom
DFT total energy = -61.244 eV/cell
Symmetry = I-42d

# Sc4B5C2

Sc4B5C2 after structural relaxation (PBE, the Alexandria database).

Unit cell a=5.817 b=3.454 c=6.283 alpha=90.00 beta=111.71 gamma=90.00
Positions (direct):
Sc1 0.003 0.000 0.239
Sc2 0.451 0.000 0.720
Sc3 0.549 0.000 0.280
Sc4 0.997 0.000 0.761
B1 0.265 0.500 0.102
B2 0.330 0.500 0.404
B3 0.500 0.500 0.000
B4 0.670 0.500 0.596
B5 0.735 0.500 0.898
C1 0.134 0.500 0.532
C2 0.866 0.500 0.468

## Properties
Formation enthalpy at 0 K = -0.375 eV/atom
DFT total energy = -81.285 eV/cell
Symmetry = P2/m

# ScBC3

ScBC3 after structural relaxation (PBE, the Alexandria database).

Unit cell a=3.507 b=3.507 c=3.507 alpha=90.00 beta=90.00 gamma=90.00
Positions (direct):
Sc1 0.000 0.000 0.000
B1 0.500 0.500 0.500
C1 0.000 0.500 0.500
C2 0.500 0.000 0.500
C3 0.500 0.500 0.000

## Properties
Formation enthalpy at 0 K = 1.465 eV/atom
DFT total energy = -33.354 eV/cell
Polymorph energy (0 for the lowest one) = 0 meV per atom
Symmetry = Pm-3m